# Er4Pb3, optimized geometry, DFT PBE
# * excess energy over the best structure of this formula in the dataset: 0.0 meV/atom
# * E_form: -48.8 kJ per mole of atoms
# * V: 811 Å³ per cell
# * total magnetic moment: 0.00 μB/cell
# * uncorrected energy: -4.703 eV per atom
# * Fermi-level density of states: 0.843 states/eV/f.u.
data_Er4Pb3
_chemical_formula_sum 'Er16 Pb12'
_symmetry_space_group_name_H-M 'I -4 3 d'
_symmetry_Int_Tables_number 220
_symmetry_space_group_name_Hall 'I -4bd 2c 3'
_cell_length_a 9.324
_cell_length_b 9.324
_cell_length_c 9.324
_cell_angle_alpha 90.00
_cell_angle_beta 90.00
_cell_angle_gamma 90.00
loop_
_atom_site_label
_atom_site_fract_x
_atom_site_fract_y
_atom_site_fract_z
Er1 0.071 0.071 0.071
Pb1 0.000 0.250 0.375



# CdPdPb2, optimized geometry, DFT PBE
# * E_form: 16.8 kJ per mole of atoms
# * V: 310 Å³ per cell
# * total magnetic moment: 0.00 μB/cell
# * uncorrected energy: -3.207 eV per atom
# * Fermi-level density of states: 1.724 states/eV/f.u.
data_CdPdPb2
_chemical_formula_sum 'Cd3 Pd3 Pb6'
_symmetry_space_group_name_H-M 'R -3 m'
_symmetry_Int_Tables_number 166
_symmetry_space_group_name_Hall '-R 3 2"'
_cell_length_a 3.2566
_cell_length_b 3.2566
_cell_length_c 33.7503
_cell_angle_alpha 90.00
_cell_angle_beta 90.00
_cell_angle_gamma 120.00
loop_
_atom_site_label
_atom_site_fract_x
_atom_site_fract_y
_atom_site_fract_z
Cd1 0.0000 0.0000 0.0000
Pd1 0.0000 0.0000 0.5000
Pb1 0.0000 0.0000 0.4196



# Pm4Rh2Au5, optimized geometry, DFT PBE
# * E_form: -72.6 kJ per mole of atoms
# * V: 253 Å³ per cell
# * total magnetic moment: 0.00 μB/cell
# * uncorrected energy: -5.306 eV per atom
# * Fermi-level density of states: 4.857 states/eV/f.u.
data_Pm4Rh2Au5
_chemical_formula_sum 'Pm4 Rh2 Au5'
_symmetry_space_group_name_H-M 'P 1 2/m 1'
_symmetry_Int_Tables_number 10
_cell_length_a 7.402
_cell_length_b 3.797
_cell_length_c 9.028
_cell_angle_alpha 90.00
_cell_angle_beta 94.36
_cell_angle_gamma 90.00
loop_
_symmetry_equiv_pos_as_xyz
'x,y,z'
'-x,-y,-z'
'-x,y,-z'
'x,-y,z'
loop_
_atom_site_label
_atom_site_fract_x
_atom_site_fract_y
_atom_site_fract_z
Pm1 0.195 0.000 0.360
Pm2 0.237 0.000 0.926
Rh1 0.072 0.500 0.144
Au1 0.171 0.500 0.639
Au2 0.454 0.500 0.171
Au3 0.500 0.500 0.500



# Rb2YUS6, optimized geometry, DFT PBE
# * V: 579 Å³ per cell
# * ΔE_f (raw): -1.35 eV per atom
# * total magnetic moment: 0.00 μB/cell
# * uncorrected energy: -5.794 eV per atom
# * Fermi-level density of states: 6.690 states/eV/f.u.
data_Rb2YUS6
_chemical_formula_sum 'Rb4 Y2 U2 S12'
_symmetry_space_group_name_H-M 'P m m n'
_symmetry_Int_Tables_number 59
_cell_length_a 7.425
_cell_length_b 10.500
_cell_length_c 7.425
_cell_angle_alpha 90.00
_cell_angle_beta 90.00
_cell_angle_gamma 90.00
loop_
_symmetry_equiv_pos_as_xyz
'x,y,z'
'-x,-y,-z'
'-x+1/2,-y+1/2,z'
'x+1/2,y+1/2,-z'
'x+1/2,-y,-z'
'-x+1/2,y,z'
'-x,y+1/2,-z'
'x,-y+1/2,z'
loop_
_atom_site_label
_atom_site_fract_x
_atom_site_fract_y
_atom_site_fract_z
Rb1 0.250 0.000 0.250
Y1 0.250 0.250 0.749
U1 0.250 0.750 0.751
S1 0.008 0.750 0.509
S2 0.008 0.750 0.993
S3 0.250 0.508 0.750